The following is a DFT calculation (PBE with a Hubbard U) of SrNiOF2 after structural relaxation.

Cell and atoms, written as POSCAR:
```
SrNiOF2
1.0
-3.9588 0.5613 -0.0713
-0.2641 -2.2788 -3.2755
-0.5069 -3.2801 2.3229
Sr Ni F O
1 1 2 1
direct
0.5000 0.5000 0.5000
0.0000 0.0000 0.0000
0.0000 0.5000 0.0000
0.5000 0.0000 0.0000
0.0000 0.0000 0.5000
```

Energy above the most stable polymorph in this dataset in eV/f.u.: 0.000
Symmetry: P4/mmm, No. 123
Uncorrected energy in eV/cell: -25.40
Fermi-level density of states in states/eV per atom: 0.000
Crystal system: tetragonal